Entry from the Alexandria database: a relaxed KIn2Rh crystal (GGA-PBE).

Properties
theoretical density = 6.52 Mg/m³
energy of formation from the pure elements = 0.355 eV/atom
E = -3.13 eV/atom

Unit cell a=3.5252 b=5.0169 c=5.3495 alpha=90.00 beta=90.00 gamma=90.00
Space group Pmmm (No. 47)
Asymmetric unit:
K: 0.0000 0.0000 0.0000 (multiplicity 1)
In: 0.0000 0.5000 0.5000 (multiplicity 1)
In: 0.5000 0.5000 0.0000 (multiplicity 1)
Rh: 0.5000 0.0000 0.5000 (multiplicity 1)